## Ge2WSeF (PBE+U)

Data for Ge2WSeF after structural relaxation.

a = 5.2080 Å, b = 5.0963 Å, c = 5.2080 Å
α = 90.00°, β = 90.00°, γ = 90.00°
Element x y z (fractional)
F1 0.5000 0.5000 0.5000
Ge1 0.5000 0.0000 0.0000
W1 0.0000 0.5000 0.0000
Ge2 0.0000 0.0000 0.5000
Se1 0.0000 0.0000 0.0000

Output
E_tot in eV/atom: -3.48
Total magnetization in μB/atom: 0.52